(1)
# CaAgW2 PBE relaxed
# energy relative to the lowest polymorph listed for this composition: 448 meV/atom
# energy: -6.759 eV/atom
# size of the total moment: 0.00 Bohr magnetons per cell
# calculated volume: 222.1 Å³/cell
# energy of formation from the pure elements: 0.93 eV per atom
data_CaAgW2
_chemical_formula_sum 'Ca3 Ag3 W6'
_cell_length_a 2.8729
_cell_length_b 2.8729
_cell_length_c 31.0767
_cell_angle_alpha 90.00
_cell_angle_beta 90.00
_cell_angle_gamma 120.00
_symmetry_space_group_name_H-M 'R -3 m'
_symmetry_Int_Tables_number 166
_symmetry_space_group_name_Hall '-R 3 2"'
loop_
_atom_site_label
_atom_site_fract_x
_atom_site_fract_y
_atom_site_fract_z
_atom_site_occupancy
Ca1 0.0000 0.0000 0.0000 1
Ag1 0.0000 0.0000 0.5000 1
W1 0.0000 0.0000 0.2455 1

***

(2)
# MgFe2Hg PBE relaxed
# energy: -4.562 eV/atom
# size of the total moment: 4.97 Bohr magnetons per cell
# calculated volume: 64.5 Å³/cell
# energy of formation from the pure elements: 0.14 eV per atom
data_MgFe2Hg
_chemical_formula_sum 'Mg1 Fe2 Hg1'
_cell_length_a 3.121
_cell_length_b 3.121
_cell_length_c 6.623
_cell_angle_alpha 90.00
_cell_angle_beta 90.00
_cell_angle_gamma 90.00
_symmetry_space_group_name_H-M 'P 4 m m'
_symmetry_Int_Tables_number 99
_symmetry_space_group_name_Hall 'P 4 -2'
loop_
_atom_site_label
_atom_site_fract_x
_atom_site_fract_y
_atom_site_fract_z
_atom_site_occupancy
Mg1 0.000 0.000 0.000 1
Fe1 0.000 0.000 0.418 1
Fe2 0.500 0.500 0.262 1
Hg1 0.500 0.500 0.699 1

***

(3)
# TbPmTm2Sc PBE relaxed
# energy: -4.603 eV/atom
# size of the total moment: 0.00 Bohr magnetons per cell
# calculated volume: 642.8 Å³/cell
# energy of formation from the pure elements: 0.33 eV per atom
data_TbPmTm2Sc
_chemical_formula_sum 'Tb4 Pm4 Tm8 Sc4'
_cell_length_a 8.139
_cell_length_b 11.182
_cell_length_c 7.063
_cell_angle_alpha 90.00
_cell_angle_beta 90.00
_cell_angle_gamma 90.00
_symmetry_space_group_name_H-M 'C m c m'
_symmetry_Int_Tables_number 63
_symmetry_space_group_name_Hall '-C 2c 2'
loop_
_atom_site_label
_atom_site_fract_x
_atom_site_fract_y
_atom_site_fract_z
_atom_site_occupancy
Tb1 0.000 0.232 0.250 1
Pm1 0.000 0.230 0.750 1
Tm1 0.196 0.000 0.000 1
Sc1 0.000 0.496 0.750 1

***

(4)
# Rb2BeInH PBE relaxed
# energy: -1.785 eV/atom
# size of the total moment: 0.00 Bohr magnetons per cell
# calculated volume: 224.4 Å³/cell
data_Rb2BeInH
_chemical_formula_sum 'Rb2 Be1 In1 H1'
_cell_length_a 6.993
_cell_length_b 6.993
_cell_length_c 4.589
_cell_angle_alpha 90.00
_cell_angle_beta 90.00
_cell_angle_gamma 90.00
_symmetry_space_group_name_H-M 'P 4/m m m'
_symmetry_Int_Tables_number 123
_symmetry_space_group_name_Hall '-P 4 2'
loop_
_atom_site_label
_atom_site_fract_x
_atom_site_fract_y
_atom_site_fract_z
_atom_site_occupancy
Rb1 0.000 0.500 0.000 1
Be1 0.000 0.000 0.500 1
In1 0.000 0.000 0.000 1
H1 0.500 0.500 0.500 1

***

(5)
# In4Te3 PBE relaxed
# energy: -3.187 eV/atom
# size of the total moment: 0.00 Bohr magnetons per cell
# calculated volume: 939.0 Å³/cell
# ΔE_f (raw): -0.276 eV/atom
data_In4Te3
_chemical_formula_sum 'In16 Te12'
_cell_length_a 13.027
_cell_length_b 15.965
_cell_length_c 4.515
_cell_angle_alpha 90.00
_cell_angle_beta 90.00
_cell_angle_gamma 90.00
_symmetry_space_group_name_H-M 'P n n m'
_symmetry_Int_Tables_number 58
_symmetry_space_group_name_Hall '-P 2 2n'
loop_
_atom_site_label
_atom_site_fract_x
_atom_site_fract_y
_atom_site_fract_z
_atom_site_occupancy
In1 0.024 0.185 0.000 1
In2 0.107 0.428 0.000 1
In3 0.146 0.037 0.000 1
In4 0.157 0.714 0.000 1
Te1 0.136 0.275 0.500 1
Te2 0.140 0.596 0.500 1
Te3 0.147 0.924 0.500 1

***

(6)
# NdMoN2 PBE relaxed
# energy relative to the lowest polymorph listed for this composition: 864 meV/atom
# energy: -8.151 eV/atom
# size of the total moment: 0.01 Bohr magnetons per cell
# calculated volume: 182.9 Å³/cell
# ΔE_f (raw): -0.088 eV/atom
data_NdMoN2
_chemical_formula_sum 'Nd3 Mo3 N6'
_cell_length_a 3.2531
_cell_length_b 3.2531
_cell_length_c 19.9548
_cell_angle_alpha 90.00
_cell_angle_beta 90.00
_cell_angle_gamma 120.00
_symmetry_space_group_name_H-M 'R -3 m'
_symmetry_Int_Tables_number 166
_symmetry_space_group_name_Hall '-R 3 2"'
loop_
_atom_site_label
_atom_site_fract_x
_atom_site_fract_y
_atom_site_fract_z
_atom_site_occupancy
Nd1 0.0000 0.0000 0.0000 1
Mo1 0.0000 0.0000 0.5000 1
N1 0.0000 0.0000 0.1178 1